(1)
# CeBeNi4 | Alexandria | GGA-PBE | relaxed
data_CeBeNi4
_chemical_formula_sum 'Ce1 Be1 Ni4'
_symmetry_space_group_name_H-M 'P 1'
_symmetry_Int_Tables_number 1
_cell_length_a 4.853
_cell_length_b 4.853
_cell_length_c 4.853
_cell_angle_alpha 60.00
_cell_angle_beta 60.00
_cell_angle_gamma 60.00
loop_
_symmetry_equiv_pos_as_xyz
'x,y,z'
loop_
_atom_site_label
_atom_site_type_symbol
_atom_site_fract_x
_atom_site_fract_y
_atom_site_fract_z
Ni1 Ni 0.627 0.627 0.627
Ni2 Ni 0.120 0.627 0.627
Ni3 Ni 0.627 0.120 0.627
Ni4 Ni 0.627 0.627 0.120
Be1 Be 0.000 0.000 0.000
Ce1 Ce 0.250 0.250 0.250
# Polymorph energy (0 for the lowest one)   0.50 eV/f.u.
# Energy of formation   -0.235 eV per atom
# Total magnetization   0.00 μB/f.u.
# D(E_F)   2.95 states/eV/f.u.

(2)
# Sm2AgPd2 | Alexandria | GGA-PBE | relaxed
data_Sm2AgPd2
_chemical_formula_sum 'Sm4 Ag2 Pd4'
_symmetry_space_group_name_H-M 'P 1'
_symmetry_Int_Tables_number 1
_cell_length_a 3.815
_cell_length_b 7.744
_cell_length_c 7.744
_cell_angle_alpha 90.00
_cell_angle_beta 90.00
_cell_angle_gamma 90.00
loop_
_symmetry_equiv_pos_as_xyz
'x,y,z'
loop_
_atom_site_label
_atom_site_type_symbol
_atom_site_fract_x
_atom_site_fract_y
_atom_site_fract_z
Pd1 Pd 0.000 0.129 0.371
Pd2 Pd 0.000 0.371 0.871
Pd3 Pd 0.000 0.629 0.129
Pd4 Pd 0.000 0.871 0.629
Sm1 Sm 0.500 0.172 0.672
Sm2 Sm 0.500 0.328 0.172
Sm3 Sm 0.500 0.828 0.328
Sm4 Sm 0.500 0.672 0.828
Ag1 Ag 0.000 0.000 0.000
Ag2 Ag 0.000 0.500 0.500
# Energy of formation   -0.701 eV per atom
# Total magnetization   0.00 μB/f.u.
# D(E_F)   2.65 states/eV/f.u.

(3)
# LiZr | Alexandria | GGA-PBE | relaxed
data_LiZr
_chemical_formula_sum 'Li6 Zr6'
_symmetry_space_group_name_H-M 'P 1'
_symmetry_Int_Tables_number 1
_cell_length_a 2.971
_cell_length_b 5.577
_cell_length_c 14.902
_cell_angle_alpha 90.00
_cell_angle_beta 90.00
_cell_angle_gamma 90.00
loop_
_symmetry_equiv_pos_as_xyz
'x,y,z'
loop_
_atom_site_label
_atom_site_type_symbol
_atom_site_fract_x
_atom_site_fract_y
_atom_site_fract_z
Li1 Li 0.500 0.374 0.849
Li2 Li 0.000 0.626 0.349
Li3 Li 0.500 0.716 0.500
Li4 Li 0.000 0.284 0.000
Li5 Li 0.500 0.374 0.151
Li6 Li 0.000 0.626 0.651
Zr1 Zr 0.000 0.869 0.175
Zr2 Zr 0.500 0.131 0.675
Zr3 Zr 0.500 0.806 0.000
Zr4 Zr 0.500 0.131 0.325
Zr5 Zr 0.000 0.194 0.500
Zr6 Zr 0.000 0.869 0.825
# Polymorph energy (0 for the lowest one)   0.30 eV/f.u.
# Energy of formation   0.233 eV per atom
# Total magnetization   0.00 μB/f.u.
# D(E_F)   1.47 states/eV/f.u.

(4)
# Co2As | Alexandria | GGA-PBE | relaxed
data_Co2As
_chemical_formula_sum 'Co6 As3'
_symmetry_space_group_name_H-M 'P 1'
_symmetry_Int_Tables_number 1
_cell_length_a 5.981
_cell_length_b 5.981
_cell_length_c 3.534
_cell_angle_alpha 90.00
_cell_angle_beta 90.00
_cell_angle_gamma 120.00
loop_
_symmetry_equiv_pos_as_xyz
'x,y,z'
loop_
_atom_site_label
_atom_site_type_symbol
_atom_site_fract_x
_atom_site_fract_y
_atom_site_fract_z
Co1 Co 0.744 0.744 0.000
Co2 Co 0.000 0.598 0.500
Co3 Co 0.402 0.402 0.500
Co4 Co 0.598 0.000 0.500
Co5 Co 0.000 0.256 0.000
Co6 Co 0.256 0.000 0.000
As1 As 0.333 0.667 0.000
As2 As 0.667 0.333 0.000
As3 As 0.000 0.000 0.500
# Energy of formation   -0.129 eV per atom
# Total magnetization   1.10 μB/f.u.
# D(E_F)   4.23 states/eV/f.u.

(5)
# Pa6ZnS12 | Alexandria | GGA-PBE | relaxed
data_Pa6ZnS12
_chemical_formula_sum 'Pa6 Zn1 S12'
_symmetry_space_group_name_H-M 'P 1'
_symmetry_Int_Tables_number 1
_cell_length_a 7.824
_cell_length_b 7.824
_cell_length_c 7.824
_cell_angle_alpha 100.48
_cell_angle_beta 100.48
_cell_angle_gamma 100.48
loop_
_symmetry_equiv_pos_as_xyz
'x,y,z'
loop_
_atom_site_label
_atom_site_type_symbol
_atom_site_fract_x
_atom_site_fract_y
_atom_site_fract_z
Pa1 Pa 0.131 0.621 0.297
Pa2 Pa 0.703 0.869 0.379
Pa3 Pa 0.297 0.131 0.621
Pa4 Pa 0.379 0.703 0.869
Pa5 Pa 0.621 0.297 0.131
Pa6 Pa 0.869 0.379 0.703
S1 S 0.823 0.571 0.430
S2 S 0.430 0.823 0.571
S3 S 0.939 0.049 0.686
S4 S 0.061 0.951 0.314
S5 S 0.570 0.177 0.429
S6 S 0.951 0.314 0.061
S7 S 0.049 0.686 0.939
S8 S 0.429 0.570 0.177
S9 S 0.686 0.939 0.049
S10 S 0.314 0.061 0.951
S11 S 0.571 0.430 0.823
S12 S 0.177 0.429 0.570
Zn1 Zn 0.000 0.000 0.000
# Formation energy without anion corrections   -1.46 eV per atom
# Total magnetization   7.65 μB/f.u.
# D(E_F)   27.93 states/eV/f.u.

(6)
# CaUBeO5 | Alexandria | GGA-PBE | relaxed
data_CaUBeO5
_chemical_formula_sum 'Ca2 U2 Be2 O10'
_symmetry_space_group_name_H-M 'P 1'
_symmetry_Int_Tables_number 1
_cell_length_a 5.592
_cell_length_b 5.592
_cell_length_c 7.760
_cell_angle_alpha 104.03
_cell_angle_beta 104.03
_cell_angle_gamma 105.87
loop_
_symmetry_equiv_pos_as_xyz
'x,y,z'
loop_
_atom_site_label
_atom_site_type_symbol
_atom_site_fract_x
_atom_site_fract_y
_atom_site_fract_z
Ca1 Ca 0.651 0.349 0.750
Ca2 Ca 0.349 0.651 0.250
O1 O 0.387 0.253 0.099
O2 O 0.904 0.096 0.750
O3 O 0.095 0.688 0.867
O4 O 0.688 0.095 0.367
O5 O 0.253 0.387 0.599
O6 O 0.613 0.747 0.901
O7 O 0.747 0.613 0.401
O8 O 0.905 0.312 0.133
O9 O 0.096 0.904 0.250
O10 O 0.312 0.905 0.633
Be1 Be 0.313 0.687 0.750
Be2 Be 0.687 0.313 0.250
U1 U 0.000 0.000 0.500
U2 U 0.000 0.000 0.000
# Formation energy without anion corrections   -3.00 eV per atom
# Total magnetization   0.00 μB/f.u.
# D(E_F)   0.00 states/eV/f.u.

(7)
# Cd2SnGe2Pd5 | Alexandria | GGA-PBE | relaxed
data_Cd2SnGe2Pd5
_chemical_formula_sum 'Cd4 Sn2 Ge4 Pd10'
_symmetry_space_group_name_H-M 'P 1'
_symmetry_Int_Tables_number 1
_cell_length_a 3.351
_cell_length_b 10.337
_cell_length_c 10.337
_cell_angle_alpha 90.00
_cell_angle_beta 90.00
_cell_angle_gamma 90.00
loop_
_symmetry_equiv_pos_as_xyz
'x,y,z'
loop_
_atom_site_label
_atom_site_type_symbol
_atom_site_fract_x
_atom_site_fract_y
_atom_site_fract_z
Ge1 Ge 0.000 0.633 0.867
Ge2 Ge 0.000 0.367 0.133
Ge3 Ge 0.000 0.867 0.367
Ge4 Ge 0.000 0.133 0.633
Cd1 Cd 0.000 0.840 0.660
Cd2 Cd 0.000 0.160 0.340
Cd3 Cd 0.000 0.340 0.840
Cd4 Cd 0.000 0.660 0.160
Pd1 Pd 0.500 0.816 0.889
Pd2 Pd 0.500 0.500 0.000
Pd3 Pd 0.500 0.389 0.316
Pd4 Pd 0.500 0.000 0.500
Pd5 Pd 0.500 0.111 0.816
Pd6 Pd 0.500 0.184 0.111
Pd7 Pd 0.500 0.684 0.389
Pd8 Pd 0.500 0.889 0.184
Pd9 Pd 0.500 0.316 0.611
Pd10 Pd 0.500 0.611 0.684
Sn1 Sn 0.000 0.000 0.000
Sn2 Sn 0.000 0.500 0.500
# Energy of formation   -0.336 eV per atom
# Total magnetization   0.00 μB/f.u.
# D(E_F)   3.12 states/eV/f.u.

(8)
# Rb2LiAg2I6 | Alexandria | GGA-PBE | relaxed
data_Rb2LiAg2I6
_chemical_formula_sum 'Rb2 Li1 Ag2 I6'
_symmetry_space_group_name_H-M 'P 1'
_symmetry_Int_Tables_number 1
_cell_length_a 7.637
_cell_length_b 8.845
_cell_length_c 8.729
_cell_angle_alpha 117.95
_cell_angle_beta 90.00
_cell_angle_gamma 115.58
loop_
_symmetry_equiv_pos_as_xyz
'x,y,z'
loop_
_atom_site_label
_atom_site_type_symbol
_atom_site_fract_x
_atom_site_fract_y
_atom_site_fract_z
I1 I 0.733 0.466 0.641
I2 I 0.316 0.108 0.801
I3 I 0.208 0.892 0.199
I4 I 0.792 0.108 0.801
I5 I 0.267 0.534 0.359
I6 I 0.684 0.892 0.199
Rb1 Rb 0.745 0.490 0.228
Rb2 Rb 0.255 0.510 0.772
Ag1 Ag 0.931 0.862 0.792
Ag2 Ag 0.069 0.138 0.208
Li1 Li 0.500 0.000 0.500
# Formation energy without anion corrections   -0.79 eV per atom
# Total magnetization   0.00 μB/f.u.
# D(E_F)   4.70 states/eV/f.u.

(9)
# TlSbP | Alexandria | GGA-PBE | relaxed
data_TlSbP
_chemical_formula_sum 'Tl1 Sb1 P1'
_symmetry_space_group_name_H-M 'P 1'
_symmetry_Int_Tables_number 1
_cell_length_a 4.616
_cell_length_b 4.616
_cell_length_c 5.025
_cell_angle_alpha 90.00
_cell_angle_beta 90.00
_cell_angle_gamma 120.00
loop_
_symmetry_equiv_pos_as_xyz
'x,y,z'
loop_
_atom_site_label
_atom_site_type_symbol
_atom_site_fract_x
_atom_site_fract_y
_atom_site_fract_z
Sb1 Sb 0.333 0.667 0.000
Tl1 Tl 0.667 0.333 0.500
P1 P 0.000 0.000 0.000
# Polymorph energy (0 for the lowest one)   0.57 eV/f.u.
# Formation energy without anion corrections   0.28 eV per atom
# Total magnetization   0.00 μB/f.u.
# D(E_F)   1.19 states/eV/f.u.

(10)
# ZrAl2Au | Alexandria | GGA-PBE | relaxed
data_ZrAl2Au
_chemical_formula_sum 'Zr1 Al2 Au1'
_symmetry_space_group_name_H-M 'P 1'
_symmetry_Int_Tables_number 1
_cell_length_a 9.331
_cell_length_b 9.331
_cell_length_c 9.331
_cell_angle_alpha 18.87
_cell_angle_beta 18.87
_cell_angle_gamma 18.87
loop_
_symmetry_equiv_pos_as_xyz
'x,y,z'
loop_
_atom_site_label
_atom_site_type_symbol
_atom_site_fract_x
_atom_site_fract_y
_atom_site_fract_z
Al1 Al 0.505 0.505 0.505
Al2 Al 0.995 0.995 0.995
Au1 Au 0.250 0.250 0.250
Zr1 Zr 0.750 0.750 0.750
# Energy of formation   -0.234 eV per atom
# Total magnetization   0.00 μB/f.u.
# D(E_F)   1.31 states/eV/f.u.

Question: total magnetization of number 1 (CeBeNi4)?
Answer: 0.00 μB/f.u.